{
  "formula": "Li2Mn2Si2O9",
  "functional": "PBE+U",
  "state": "optimized geometry",
  "vol_a3_per_atom": 9.85,
  "space_group": "Pbcn",
  "rho_g_cm3": 3.6,
  "energy_ev_per_atom": -7.003,
  "m_tot_mub_per_fu": 5.99,
  "lattice": [[8.487, 0.000, 0.000], [0.000, 5.037, 0.000], [0.000, 0.000, 13.831]],
  "species": ["Li", "Li", "Li", "Li", "Li", "Li", "Li", "Li", "Mn", "Mn", "Mn", "Mn", "Mn", "Mn", "Mn", "Mn", "Si", "Si", "Si", "Si", "Si", "Si", "Si", "Si", "O", "O", "O", "O", "O", "O", "O", "O", "O", "O", "O", "O", "O", "O", "O", "O", "O", "O", "O", "O", "O", "O", "O", "O", "O", "O", "O", "O", "O", "O", "O", "O", "O", "O", "O", "O"],
  "frac_coords": [[0.037, 0.148, 0.159], [0.037, 0.852, 0.659], [0.463, 0.352, 0.659], [0.463, 0.648, 0.159], [0.537, 0.352, 0.841], [0.537, 0.648, 0.341], [0.963, 0.148, 0.341], [0.963, 0.852, 0.841], [0.156, 0.354, 0.830], [0.156, 0.646, 0.330], [0.344, 0.146, 0.330], [0.344, 0.854, 0.830], [0.656, 0.146, 0.170], [0.656, 0.854, 0.670], [0.844, 0.354, 0.670], [0.844, 0.646, 0.170], [0.158, 0.312, 0.534], [0.158, 0.688, 0.034], [0.342, 0.188, 0.034], [0.342, 0.812, 0.534], [0.658, 0.188, 0.466], [0.658, 0.812, 0.966], [0.842, 0.312, 0.966], [0.842, 0.688, 0.466], [0.000, 0.488, 0.250], [0.000, 0.512, 0.750], [0.001, 0.202, 0.918], [0.001, 0.798, 0.418], [0.163, 0.314, 0.414], [0.163, 0.686, 0.914], [0.175, 0.031, 0.766], [0.175, 0.969, 0.266], [0.197, 0.383, 0.071], [0.197, 0.617, 0.571], [0.303, 0.117, 0.571], [0.303, 0.883, 0.071], [0.325, 0.469, 0.266], [0.325, 0.531, 0.766], [0.337, 0.186, 0.914], [0.337, 0.814, 0.414], [0.499, 0.298, 0.418], [0.499, 0.702, 0.918], [0.500, 0.012, 0.750], [0.500, 0.988, 0.250], [0.501, 0.298, 0.082], [0.501, 0.702, 0.582], [0.663, 0.186, 0.586], [0.663, 0.814, 0.086], [0.675, 0.469, 0.234], [0.675, 0.531, 0.734], [0.697, 0.117, 0.929], [0.697, 0.883, 0.429], [0.803, 0.383, 0.429], [0.803, 0.617, 0.929], [0.825, 0.031, 0.734], [0.825, 0.969, 0.234], [0.837, 0.314, 0.086], [0.837, 0.686, 0.586], [0.999, 0.202, 0.582], [0.999, 0.798, 0.082]]
}